[1]
10
Lattice="4.1714 2.4084 7.3855 -4.1714 2.4084 7.3855 0.0000 -4.8167 7.3855" Properties=species:S:1:pos:R:3 comment="CsK2PrBr6 | the Alexandria database | PBE | optimized geometry" volume_a3_per_cell=445.18 magnetic_moment_mub_per_atom=0.000 total_energy_ev_per_atom=-3.62 raw_formation_energy_kj_per_mol_fu=-1766 pbc="T T T"
Cs 0.0000 0.0000 0.0000
K 0.0000 0.0000 4.4987
K 0.0000 0.0000 15.9021
Pr 0.0000 0.0000 11.4379
Br -1.1180 -2.2539 9.9240
Br -2.2484 0.2091 13.3386
Br -1.3930 2.0951 9.9240
Br 0.9431 -2.0517 13.3386
Br 2.5109 0.1588 9.9240
Br 1.3053 1.8426 13.3386



[2]
18
Lattice="2.3399 -10.1281 0.0000 2.3399 10.1281 0.0000 0.0000 0.0000 16.6557" Properties=species:S:1:pos:R:3 comment="Cs2KPuBr5 | the Alexandria database | PBE | optimized geometry" volume_a3_per_cell=789.45 magnetic_moment_mub_per_atom=0.667 total_energy_ev_per_atom=-4.46 raw_formation_energy_kj_per_mol_fu=-1410 pbc="T T T"
Cs 2.3399 8.4570 8.3279
Cs 2.3399 7.2648 2.2327
Cs 2.3399 -7.2648 10.5606
Cs 2.3399 -8.4570 0.0000
K 2.3399 0.8123 4.8940
K 2.3399 -0.8123 13.2219
Pu 2.3399 5.5134 14.4747
Pu 2.3399 -5.5134 6.1468
Br 2.3399 8.4281 15.1772
Br 2.3399 4.8684 8.1386
Br 2.3399 4.1270 4.2442
Br 2.3399 2.5629 13.8661
Br 2.3399 0.1408 10.2553
Br 2.3399 -0.1408 1.9274
Br 2.3399 -2.5629 5.5382
Br 2.3399 -4.1270 12.5721
Br 2.3399 -4.8684 16.4664
Br 2.3399 -8.4281 6.8494



[3]
15
Lattice="8.4591 0.0000 0.0000 -4.2295 7.3258 0.0000 0.0000 0.0000 10.4259" Properties=species:S:1:pos:R:3 comment="Cs3KPu2Br9 | the Alexandria database | PBE | optimized geometry" volume_a3_per_cell=646.09 magnetic_moment_mub_per_atom=0.733 total_energy_ev_per_atom=-4.84 raw_formation_energy_kj_per_mol_fu=-2433 pbc="T T T"
Cs 0.0000 0.0000 0.0000
Cs 0.0000 4.8839 6.6779
Cs 4.2296 2.4419 3.7481
K 0.0000 0.0000 5.2130
Pu 0.0000 4.8839 1.6825
Pu 4.2296 2.4419 8.7434
Br -2.1148 3.6629 0.0000
Br 0.0000 2.5236 3.3288
Br -2.0441 6.0640 3.3288
Br 2.1855 1.2618 7.0972
Br 4.2295 0.0000 0.0000
Br 2.1148 3.6629 0.0000
Br 2.0441 6.0640 3.3288
Br 6.2736 1.2618 7.0972
Br 4.2296 4.8022 7.0972



[4]
12
Lattice="6.8541 0.0000 0.0000 1.5225 7.7184 0.0000 0.0058 0.0170 10.4834" Properties=species:S:1:pos:R:3 comment="Cs2KPuBr8 | the Alexandria database | PBE | optimized geometry" volume_a3_per_cell=554.60 magnetic_moment_mub_per_atom=0.365 total_energy_ev_per_atom=-3.94 raw_formation_energy_kj_per_mol_fu=-1615 pbc="T T T"
Cs 0.7650 3.8571 2.6689
Cs 7.6173 3.8783 7.8146
K 3.4270 0.0000 0.0000
Pu 3.4299 0.0085 5.2417
Br 0.5155 1.5141 10.4821
Br 1.0946 1.4103 5.2516
Br 4.0772 6.0388 3.2305
Br 4.0870 6.0303 7.2503
Br 4.2953 1.7051 3.2332
Br 4.3051 1.6966 7.2530
Br 7.2877 6.3251 5.2319
Br 7.8668 6.2213 0.0013